Compound: LaSmHoZn
Source: Alexandria
Functional: GGA-PBE
Structure: optimized geometry

```
LaSmHoZn
1.0
5.463 0.000 0.000
2.732 4.731 0.000
2.732 1.577 4.461
Zn Ho Sm La
1 1 1 1
direct
0.000 0.000 0.000 Zn
0.500 0.500 0.500 Ho
0.750 0.750 0.750 Sm
0.250 0.250 0.250 La
```

Properties
* N(E_F): 5.29 states/eV per cell
* formation energy: 0.02 eV/atom
* E_tot: -3.85 eV/atom